[1]
VASP calculation (GGA-PBE) on an optimized crystal structure of Ho12Mg2Al5.

## Properties
**Formation energy from the elements**: -0.144 eV per atom
**Space-group type**: C2/m, No. 12

Cell: 10.583 8.125 8.179 Å, 77.32 90.00 130.64°
Fractional positions:
Ho 0.901 0.801 0.175
Ho 0.983 0.651 0.823
Ho 0.669 0.651 0.823
Ho 0.160 0.781 0.407
Ho 0.621 0.781 0.407
Ho 0.388 0.776 0.737
Ho 0.612 0.224 0.263
Ho 0.840 0.219 0.593
Ho 0.379 0.219 0.593
Ho 0.017 0.349 0.177
Ho 0.331 0.349 0.177
Ho 0.099 0.199 0.825
Mg 0.717 0.000 0.000
Mg 0.283 0.000 0.000
Al 0.233 0.466 0.460
Al 0.389 0.779 0.152
Al 0.000 0.000 0.500
Al 0.611 0.221 0.848
Al 0.767 0.534 0.540


[2]
VASP calculation (GGA-PBE) on an optimized crystal structure of La2Ti2As.

## Properties
**Energy above the lowest structure with this stoichiometry**: 0 meV per atom
**Formation energy from the elements**: -0.239 eV per atom
**Space-group type**: P4/mbm, No. 127

Cell: 6.978 6.978 4.759 Å, 90.00 90.00 90.00°
Fractional positions:
As 0.000 0.000 0.000
As 0.500 0.500 0.000
Ti 0.360 0.860 0.000
Ti 0.860 0.640 0.000
Ti 0.640 0.140 0.000
Ti 0.140 0.360 0.000
La 0.178 0.678 0.500
La 0.678 0.822 0.500
La 0.822 0.322 0.500
La 0.322 0.178 0.500


[3]
VASP calculation (GGA-PBE) on an optimized crystal structure of BiS6I2.

## Properties
**Formation energy from raw total energies**: -0.012 eV/atom
**Space-group type**: P-1, No. 2

Cell: 4.555 9.806 8.086 Å, 114.11 88.63 91.47°
Fractional positions:
Bi 0.000 0.000 0.000
S 0.890 0.576 0.330
S 0.110 0.424 0.670
S 0.918 0.634 0.754
S 0.906 0.287 0.431
S 0.094 0.713 0.569
S 0.082 0.366 0.246
I 0.485 0.902 0.191
I 0.515 0.098 0.809


[4]
VASP calculation (GGA-PBE) on an optimized crystal structure of RbNaNiCl6.

## Properties
**Formation energy from raw total energies**: -1.020 eV/atom
**Space-group type**: P312, No. 149

Cell: 6.796 6.796 6.928 Å, 90.01 89.99 59.98°
Fractional positions:
Rb 0.000 0.000 0.000
Na 0.667 0.667 0.500
Ni 0.333 0.333 0.500
Cl 0.060 0.342 0.311
Cl 0.342 0.060 0.689
Cl 0.598 0.342 0.689
Cl 0.060 0.598 0.689
Cl 0.342 0.598 0.311
Cl 0.598 0.060 0.311


[5]
VASP calculation (GGA-PBE) on an optimized crystal structure of PSe3.

## Properties
**Energy above the lowest structure with this stoichiometry**: 163 meV per atom
**Formation energy from raw total energies**: 0.390 eV/atom
**Space-group type**: Pmmm, No. 47

Cell: 2.583 5.138 8.656 Å, 90.00 90.00 90.00°
Fractional positions:
P 0.000 0.000 0.000
Se 0.500 0.258 0.500
Se 0.000 0.500 0.000
Se 0.500 0.742 0.500


[6]
VASP calculation (GGA-PBE) on an optimized crystal structure of Ca2BeSb.

## Properties
**Energy above the lowest structure with this stoichiometry**: 454 meV per atom
**Formation energy from raw total energies**: 0.038 eV/atom
**Space-group type**: P4mm, No. 99

Cell: 4.417 4.417 6.203 Å, 90.00 90.00 90.00°
Last column: magnetic moment on the atom in μB.
Fractional positions:
Sb 0.000 0.000 0.413  0.03
Ca 0.000 0.000 0.907  0.07
Ca 0.500 0.500 0.341  0.01
Be 0.500 0.500 0.839  0.08


[7]
VASP calculation (GGA-PBE) on an optimized crystal structure of BaSn3Pt2.

## Properties
**Formation energy from the elements**: -0.509 eV per atom
**Space-group type**: R-3m, No. 166

Cell: 7.907 7.907 7.845 Å, 59.74 59.74 60.00°
Fractional positions:
Ba 0.779 0.779 0.662
Ba 0.221 0.221 0.338
Sn 0.268 0.750 0.233
Sn 0.750 0.268 0.233
Sn 0.750 0.750 0.233
Sn 0.250 0.732 0.767
Sn 0.732 0.250 0.767
Sn 0.250 0.250 0.767
Pt 0.000 0.000 0.000
Pt 0.000 0.500 0.000
Pt 0.500 0.500 0.000
Pt 0.500 0.000 0.000


Question: Number 5 is which compound?
Answer: PSe3


Question: Which formula does entry 7 have?
Answer: BaSn3Pt2